# BaAg2P2

A relaxed BaAg2P2 crystal (PBEsol, Alexandria).

Properties
DFT formation energy ... -459 meV per atom
Space-group type ... I4/mmm (139)
Crystal system ... tetragonal
ρ ... 6.7 Mg/m³
Final energy ... -4.53 eV per atom

Cell: 4.4439 4.4439 6.0606 Å, 111.51 111.51 90.00°
Closest atoms and distances in Å follow each position.
Fractional positions:
P: 0.3885 0.3885 0.7771  1 P 2.31
P: 0.6115 0.6115 0.2229  1 P 2.31
Ag: 0.2500 0.7500 0.5000  4 P 2.65
Ag: 0.7500 0.2500 0.5000  4 P 2.65
Ba: 0.0000 0.0000 0.0000  8 P 3.35, 8 Ag 3.41



# KAg3Te2

A relaxed KAg3Te2 crystal (PBEsol, Alexandria).

Properties
Raw formation energy ... -275 meV/atom
Space-group type ... C2/m (12)
Crystal system ... monoclinic
ρ ... 5.9 Mg/m³
Final energy ... -3.29 eV per atom

Cell: 4.5990 8.9277 9.1728 Å, 106.25 104.52 90.00°
Closest atoms and distances in Å follow each position.
Fractional positions:
K: 0.6466 0.9833 0.2932  5 Te 3.36-3.64, 1 Ag 3.42
K: 0.3534 0.0167 0.7068  5 Te 3.36-3.64, 1 Ag 3.42
Te: 0.1826 0.6961 0.3652  4 Ag 2.72-2.95
Te: 0.8174 0.3039 0.6348  4 Ag 2.72-2.95
Te: 0.4531 0.7493 0.9062  4 Ag 2.72-2.85
Te: 0.5469 0.2507 0.0938  4 Ag 2.72-2.85
Ag: 0.2971 0.5496 0.5941  2 Te 2.72-2.83, 3 Ag 2.74-2.83
Ag: 0.9868 0.3303 0.9736  3 Te 2.72-2.95, 3 Ag 2.81-2.93
Ag: 0.4182 0.4165 0.8363  4 Ag 2.74-2.86, 4 Te 2.85-3.06
Ag: 0.0132 0.6697 0.0264  3 Te 2.72-2.95, 3 Ag 2.81-2.93
Ag: 0.7029 0.4504 0.4059  2 Te 2.72-2.83, 3 Ag 2.74-2.83
Ag: 0.5818 0.5835 0.1637  4 Ag 2.74-2.86, 4 Te 2.85-3.06



# Sm3BiRu4O14

A relaxed Sm3BiRu4O14 crystal (PBEsol, Alexandria).

Properties
Raw formation energy ... -1916 meV/atom
Space-group type ... R-3m (166)
Crystal system ... trigonal
ρ ... 8.0 Mg/m³
Final energy ... -8.00 eV per atom

Cell: 7.2067 7.2067 7.2067 Å, 60.37 60.37 60.37°
Closest atoms and distances in Å follow each position.
Fractional positions:
O: 0.5814 0.1718 0.1718  2 Ru 1.98
O: 0.8321 0.4179 0.4179  2 Ru 1.98-1.99
O: 0.1268 0.1268 0.1268  3 Sm 2.21, 1 Bi 2.23
O: 0.8732 0.8732 0.8732  3 Sm 2.21, 1 Bi 2.23
O: 0.1718 0.1718 0.5814  2 Ru 1.98
O: 0.4179 0.4179 0.8321  2 Ru 1.98-1.99
O: 0.8282 0.8282 0.4186  2 Ru 1.98
O: 0.1718 0.5814 0.1718  2 Ru 1.98
O: 0.8282 0.4186 0.8282  2 Ru 1.98
O: 0.1679 0.5821 0.5821  2 Ru 1.98-1.99
O: 0.4186 0.8282 0.8282  2 Ru 1.98
O: 0.5821 0.5821 0.1679  2 Ru 1.98-1.99
O: 0.4179 0.8321 0.4179  2 Ru 1.98-1.99
O: 0.5821 0.1679 0.5821  2 Ru 1.98-1.99
Sm: 0.0000 0.0000 0.5000  2 O 2.21
Sm: 0.5000 0.0000 0.0000  2 O 2.21
Sm: 0.0000 0.5000 0.0000  2 O 2.21
Ru: 0.5000 0.5000 0.5000  6 O 1.99
Ru: 0.5000 0.5000 0.0000  6 O 1.98
Ru: 0.5000 0.0000 0.5000  6 O 1.98
Ru: 0.0000 0.5000 0.5000  6 O 1.98
Bi: 0.0000 0.0000 0.0000  2 O 2.23